Record 1
Compound: TcAuN2
Source: the Alexandria database
Functional: SCAN
Structure: single point on PBEsol structure

Structure (CIF):
```
data_TcAuN2
_chemical_formula_sum 'Tc2 Au2 N4'
_cell_length_a 5.654
_cell_length_b 5.654
_cell_length_c 5.654
_cell_angle_alpha 129.12
_cell_angle_beta 129.12
_cell_angle_gamma 74.82
_space_group_name_H-M_alt 'P 1'
_space_group_IT_number 1
_space_group_name_Hall 'P 1'
loop_
_atom_site_label
_atom_site_type_symbol
_atom_site_fract_x
_atom_site_fract_y
_atom_site_fract_z
Tc1 Tc 0.000 0.000 0.000
Tc2 Tc 0.750 0.250 0.500
Au1 Au 0.250 0.750 0.500
Au2 Au 0.500 0.500 0.000
N1 N 0.059 0.625 0.934
N2 N 0.375 0.309 0.434
N3 N 0.691 0.125 0.066
N4 N 0.875 0.941 0.566
```

## Properties
energy above the most stable polymorph in this dataset: 232 meV/atom
symmetry: No. 122
formation energy from raw total energies: 0.4481 eV/atom
VASP energy: -242.01 eV for the cell shown
DOS at the Fermi energy: 3.013 states/eV per cell
theoretical density: 10.12 g/cm³

Record 2
Compound: TeAu3N
Source: the Alexandria database
Functional: SCAN
Structure: single point on PBEsol structure

Structure (CIF):
```
data_TeAu3N
_chemical_formula_sum 'Te1 Au3 N1'
_cell_length_a 5.195
_cell_length_b 5.195
_cell_length_c 5.195
_cell_angle_alpha 90.00
_cell_angle_beta 90.00
_cell_angle_gamma 90.00
_space_group_name_H-M_alt 'P 1'
_space_group_IT_number 1
_space_group_name_Hall 'P 1'
loop_
_atom_site_label
_atom_site_type_symbol
_atom_site_fract_x
_atom_site_fract_y
_atom_site_fract_z
Te1 Te 0.000 0.000 0.000
Au1 Au 0.000 0.000 0.500
Au2 Au 0.000 0.500 0.000
Au3 Au 0.500 0.000 0.000
N1 N 0.500 0.500 0.500
```

## Properties
symmetry: No. 221
formation energy from raw total energies: 1.3085 eV/atom
VASP energy: -247.47 eV for the cell shown
DOS at the Fermi energy: 3.165 states/eV per cell
theoretical density: 8.67 g/cm³

Record 3
Compound: Te2AuN
Source: the Alexandria database
Functional: SCAN
Structure: single point on PBEsol structure

Structure (CIF):
```
data_Te2AuN
_chemical_formula_sum 'Te2 Au1 N1'
_cell_length_a 7.079
_cell_length_b 7.079
_cell_length_c 7.079
_cell_angle_alpha 35.45
_cell_angle_beta 35.45
_cell_angle_gamma 35.45
_space_group_name_H-M_alt 'P 1'
_space_group_IT_number 1
_space_group_name_Hall 'P 1'
loop_
_atom_site_label
_atom_site_type_symbol
_atom_site_fract_x
_atom_site_fract_y
_atom_site_fract_z
Te1 Te 0.097 0.097 0.097
Te2 Te 0.903 0.903 0.903
Au1 Au 0.500 0.500 0.500
N1 N 0.000 0.000 0.000
```

## Properties
symmetry: No. 166
formation energy from raw total energies: 0.5920 eV/atom
VASP energy: -150.58 eV for the cell shown
DOS at the Fermi energy: 1.319 states/eV per cell
theoretical density: 7.26 g/cm³

Record 4
Compound: TeWAuN2
Source: the Alexandria database
Functional: SCAN
Structure: single point on PBEsol structure

Structure (CIF):
```
data_TeWAuN2
_chemical_formula_sum 'Te1 W1 Au1 N2'
_cell_length_a 3.884
_cell_length_b 3.884
_cell_length_c 7.349
_cell_angle_alpha 90.00
_cell_angle_beta 90.00
_cell_angle_gamma 90.00
_space_group_name_H-M_alt 'P 1'
_space_group_IT_number 1
_space_group_name_Hall 'P 1'
loop_
_atom_site_label
_atom_site_type_symbol
_atom_site_fract_x
_atom_site_fract_y
_atom_site_fract_z
Te1 Te 0.000 0.000 0.000
W1 W 0.500 0.500 0.000
Au1 Au 0.000 0.000 0.500
N1 N 0.000 0.500 0.500
N2 N 0.500 0.000 0.500
```

## Properties
symmetry: No. 123
formation energy from raw total energies: 2.1750 eV/atom
VASP energy: -183.80 eV for the cell shown
DOS at the Fermi energy: 2.348 states/eV per cell
theoretical density: 8.04 g/cm³

Record 5
Compound: ZrTeAuN2
Source: the Alexandria database
Functional: SCAN
Structure: single point on PBEsol structure

Structure (CIF):
```
data_ZrTeAuN2
_chemical_formula_sum 'Zr1 Te1 Au1 N2'
_cell_length_a 4.042
_cell_length_b 4.042
_cell_length_c 6.192
_cell_angle_alpha 90.00
_cell_angle_beta 90.00
_cell_angle_gamma 90.00
_space_group_name_H-M_alt 'P 1'
_space_group_IT_number 1
_space_group_name_Hall 'P 1'
loop_
_atom_site_label
_atom_site_type_symbol
_atom_site_fract_x
_atom_site_fract_y
_atom_site_fract_z
Zr1 Zr 0.000 0.000 0.000
Te1 Te 0.000 0.000 0.500
Au1 Au 0.500 0.500 0.500
N1 N 0.000 0.500 0.000
N2 N 0.500 0.000 0.000
```

## Properties
symmetry: No. 123
formation energy from raw total energies: 0.3636 eV/atom
VASP energy: -153.87 eV for the cell shown
DOS at the Fermi energy: 2.949 states/eV per cell
theoretical density: 7.29 g/cm³

Record 6
Compound: ZrTe2AuN
Source: the Alexandria database
Functional: SCAN
Structure: single point on PBEsol structure

Structure (CIF):
```
data_ZrTe2AuN
_chemical_formula_sum 'Zr1 Te2 Au1 N1'
_cell_length_a 5.646
_cell_length_b 5.646
_cell_length_c 3.877
_cell_angle_alpha 90.00
_cell_angle_beta 90.00
_cell_angle_gamma 90.00
_space_group_name_H-M_alt 'P 1'
_space_group_IT_number 1
_space_group_name_Hall 'P 1'
loop_
_atom_site_label
_atom_site_type_symbol
_atom_site_fract_x
_atom_site_fract_y
_atom_site_fract_z
Zr1 Zr 0.000 0.000 0.000
Te1 Te 0.000 0.500 0.000
Te2 Te 0.500 0.000 0.000
Au1 Au 0.500 0.500 0.500
N1 N 0.000 0.000 0.500
```

## Properties
symmetry: No. 123
formation energy from raw total energies: 0.2303 eV/atom
VASP energy: -182.50 eV for the cell shown
DOS at the Fermi energy: 4.130 states/eV per cell
theoretical density: 7.49 g/cm³

Record 7
Compound: TiAuN2
Source: the Alexandria database
Functional: SCAN
Structure: single point on PBEsol structure

Structure (CIF):
```
data_TiAuN2
_chemical_formula_sum 'Ti1 Au1 N2'
_cell_length_a 6.275
_cell_length_b 6.275
_cell_length_c 6.275
_cell_angle_alpha 29.54
_cell_angle_beta 29.54
_cell_angle_gamma 29.54
_space_group_name_H-M_alt 'P 1'
_space_group_IT_number 1
_space_group_name_Hall 'P 1'
loop_
_atom_site_label
_atom_site_type_symbol
_atom_site_fract_x
_atom_site_fract_y
_atom_site_fract_z
Ti1 Ti 0.000 0.000 0.000
Au1 Au 0.500 0.500 0.500
N1 N 0.109 0.109 0.109
N2 N 0.891 0.891 0.891
```

## Properties
symmetry: No. 166
formation energy from raw total energies: 0.7953 eV/atom
VASP energy: -100.59 eV for the cell shown
DOS at the Fermi energy: 2.952 states/eV per cell
theoretical density: 8.53 g/cm³

Record 8
Compound: Ti2Au2N
Source: the Alexandria database
Functional: SCAN
Structure: single point on PBEsol structure

Structure (CIF):
```
data_Ti2Au2N
_chemical_formula_sum 'Ti2 Au2 N1'
_cell_length_a 7.175
_cell_length_b 7.175
_cell_length_c 7.175
_cell_angle_alpha 151.87
_cell_angle_beta 151.87
_cell_angle_gamma 40.20
_space_group_name_H-M_alt 'P 1'
_space_group_IT_number 1
_space_group_name_Hall 'P 1'
loop_
_atom_site_label
_atom_site_type_symbol
_atom_site_fract_x
_atom_site_fract_y
_atom_site_fract_z
Ti1 Ti 0.250 0.750 0.500
Ti2 Ti 0.750 0.250 0.500
Au1 Au 0.099 0.099 0.000
Au2 Au 0.901 0.901 0.000
N1 N 0.500 0.500 0.000
```

## Properties
symmetry: No. 139
formation energy from raw total energies: 0.8840 eV/atom
VASP energy: -175.24 eV for the cell shown
DOS at the Fermi energy: 2.764 states/eV per cell
theoretical density: 10.21 g/cm³